{"formula": "Al2Ga2Rh", "functional": "GGA-PBE", "state": "relaxed", "cell": [[6.5048, 0.0000, 0.0000], [0.0000, 6.5048, 0.0000], [0.0000, 0.0000, 3.8444]], "species": ["Al", "Al", "Al", "Al", "Ga", "Ga", "Ga", "Ga", "Rh", "Rh"], "frac_coords": [[0.1681, 0.3319, 0.0000], [0.3319, 0.8319, 0.0000], [0.6681, 0.1681, 0.0000], [0.8319, 0.6681, 0.0000], [0.1379, 0.6379, 0.5000], [0.3621, 0.1379, 0.5000], [0.6379, 0.8621, 0.5000], [0.8621, 0.3621, 0.5000], [0.0000, 0.0000, 0.5000], [0.5000, 0.5000, 0.5000]], "energy_ev_per_cell": -43.0, "formation_enthalpy_0k_kj_per_mol_fu": -57, "e_above_lowest_polymorph_kj_per_mol_atoms": 0.00, "total_magnetization_mub_per_cell": 0.000}

{"formula": "Sr3Pd5Pb2", "functional": "GGA-PBE", "state": "relaxed", "cell": [[-6.0823, 6.7742, 3.1404], [6.0823, -6.7742, 3.1404], [6.0823, 6.7742, -3.1404]], "species": ["Sr", "Sr", "Sr", "Sr", "Sr", "Sr", "Pd", "Pd", "Pd", "Pd", "Pd", "Pd", "Pd", "Pd", "Pd", "Pd", "Pb", "Pb", "Pb", "Pb"], "frac_coords": [[0.1061, 0.6833, 0.7894], [0.2500, 0.2500, 0.0000], [0.3939, 0.1833, 0.5771], [0.6061, 0.8167, 0.4229], [0.7500, 0.7500, 0.0000], [0.8939, 0.3167, 0.2106], [0.0292, 0.2500, 0.7792], [0.1409, 0.3962, 0.5371], [0.2500, 0.7500, 0.5000], [0.3591, 0.8962, 0.2553], [0.4708, 0.2500, 0.2208], [0.5292, 0.7500, 0.7792], [0.6409, 0.1038, 0.7447], [0.7500, 0.2500, 0.5000], [0.8591, 0.6038, 0.4629], [0.9708, 0.7500, 0.2208], [0.1447, 0.1764, 0.3211], [0.3553, 0.6764, 0.0316], [0.6447, 0.3236, 0.9684], [0.8553, 0.8236, 0.6789]], "energy_ev_per_cell": -82.6, "formation_enthalpy_0k_kj_per_mol_fu": -279, "total_magnetization_mub_per_cell": 0.000}

{"formula": "NaHgGeF6", "functional": "GGA-PBE", "state": "relaxed", "cell": [[5.7071, 0.0000, 0.0000], [-2.8536, 4.9425, 0.0000], [0.0000, 0.0000, 5.2622]], "species": ["Na", "Hg", "Ge", "F", "F", "F", "F", "F", "F"], "frac_coords": [[0.0000, 0.0000, 0.0000], [0.6667, 0.3333, 0.5000], [0.3333, 0.6667, 0.0000], [0.0731, 0.3959, 0.1988], [0.0731, 0.6773, 0.8012], [0.3227, 0.3959, 0.8012], [0.3227, 0.9269, 0.1988], [0.6041, 0.6773, 0.1988], [0.6041, 0.9269, 0.8012]], "energy_ev_per_cell": -37.3, "raw_formation_energy_ev_per_atom": -2.198, "total_magnetization_mub_per_cell": 0.678}

{"formula": "La2YTa2", "functional": "GGA-PBE", "state": "relaxed", "cell": [[-2.3110, 2.3110, 6.6983], [2.3110, -2.3110, 6.6983], [2.3110, 2.3110, -6.6983]], "species": ["La", "La", "Y", "Ta", "Ta"], "frac_coords": [[0.2500, 0.7500, 0.5000], [0.7500, 0.2500, 0.5000], [0.0000, 0.0000, 0.0000], [0.4096, 0.4096, 0.0000], [0.5904, 0.5904, 0.0000]], "energy_ev_per_cell": -36.6, "formation_enthalpy_0k_kj_per_mol_fu": 331, "total_magnetization_mub_per_cell": 0.000}

{"formula": "AgGeAu2O6", "functional": "GGA-PBE", "state": "relaxed", "cell": [[5.0477, -4.2187, 0.0000], [5.0477, 4.2187, 0.0000], [-1.2761, 0.0000, 5.8911]], "species": ["Ag", "Ag", "Ge", "Ge", "Au", "Au", "Au", "Au", "O", "O", "O", "O", "O", "O", "O", "O", "O", "O", "O", "O"], "frac_coords": [[0.1542, 0.8458, 0.7500], [0.8458, 0.1542, 0.2500], [0.2898, 0.7102, 0.2500], [0.7102, 0.2898, 0.7500], [0.1730, 0.3461, 0.8126], [0.3461, 0.1730, 0.3126], [0.6539, 0.8270, 0.6874], [0.8270, 0.6539, 0.1874], [0.0461, 0.7277, 0.0282], [0.0878, 0.6479, 0.4283], [0.2723, 0.9538, 0.4718], [0.3521, 0.9122, 0.0717], [0.3648, 0.4075, 0.1164], [0.4075, 0.3648, 0.6164], [0.5925, 0.6352, 0.3836], [0.6352, 0.5925, 0.8836], [0.6479, 0.0878, 0.9283], [0.7277, 0.0461, 0.5282], [0.9122, 0.3521, 0.5717], [0.9538, 0.2723, 0.9718]], "energy_ev_per_cell": -93.9, "raw_formation_energy_ev_per_atom": -0.318, "total_magnetization_mub_per_cell": 0.111}

{"formula": "MgTl2SbTe4", "functional": "GGA-PBE", "state": "relaxed", "cell": [[7.6686, 0.0000, 0.0000], [0.0000, 4.4227, 0.0000], [-2.5554, 0.0000, 7.6197]], "species": ["Mg", "Tl", "Tl", "Sb", "Te", "Te", "Te", "Te"], "frac_coords": [[0.0000, 0.0000, 0.0000], [0.0000, 0.5000, 0.5000], [0.5000, 0.0000, 0.5000], [0.5000, 0.5000, 0.0000], [0.2291, 0.5000, 0.2137], [0.2504, 0.0000, 0.7796], [0.7496, 0.0000, 0.2204], [0.7709, 0.5000, 0.7863]], "energy_ev_per_cell": -25.9, "raw_formation_energy_ev_per_atom": -0.359, "total_magnetization_mub_per_cell": 0.000}

{"formula": "Ce2Te7Cl2O17", "functional": "GGA-PBE", "state": "relaxed", "cell": [[9.8793, 0.0000, 0.0000], [0.0000, 5.4568, 0.0000], [-7.6094, 0.0000, 19.1431]], "species": ["Ce", "Ce", "Ce", "Ce", "Te", "Te", "Te", "Te", "Te", "Te", "Te", "Te", "Te", "Te", "Te", "Te", "Te", "Te", "Cl", "Cl", "Cl", "Cl", "O", "O", "O", "O", "O", "O", "O", "O", "O", "O", "O", "O", "O", "O", "O", "O", "O", "O", "O", "O", "O", "O", "O", "O", "O", "O", "O", "O", "O", "O", "O", "O", "O", "O"], "frac_coords": [[0.0043, 0.1338, 0.4088], [0.0043, 0.8662, 0.9088], [0.9957, 0.1338, 0.0912], [0.9957, 0.8662, 0.5912], [0.0000, 0.4406, 0.2500], [0.0000, 0.5594, 0.7500], [0.2679, 0.3266, 0.5806], [0.2679, 0.6734, 0.0806], [0.2889, 0.3979, 0.9113], [0.2889, 0.6021, 0.4113], [0.3257, 0.0154, 0.7569], [0.3257, 0.9846, 0.2569], [0.6743, 0.0154, 0.7431], [0.6743, 0.9846, 0.2431], [0.7111, 0.3979, 0.5887], [0.7111, 0.6021, 0.0887], [0.7321, 0.3266, 0.9194], [0.7321, 0.6734, 0.4194], [0.4767, 0.2069, 0.0831], [0.4767, 0.7931, 0.5831], [0.5233, 0.2069, 0.4169], [0.5233, 0.7931, 0.9169], [0.0996, 0.2076, 0.2149], [0.0996, 0.7924, 0.7149], [0.1139, 0.1034, 0.5330], [0.1139, 0.8966, 0.0330], [0.1416, 0.1629, 0.9020], [0.1416, 0.8371, 0.4020], [0.1461, 0.4223, 0.0903], [0.1461, 0.5777, 0.5903], [0.1568, 0.3634, 0.3505], [0.1568, 0.6366, 0.8505], [0.2124, 0.1246, 0.6638], [0.2124, 0.8754, 0.1638], [0.2261, 0.4017, 0.4781], [0.2261, 0.5983, 0.9781], [0.2767, 0.2786, 0.8031], [0.2767, 0.7214, 0.3031], [0.5000, 0.1873, 0.7500], [0.5000, 0.8127, 0.2500], [0.7233, 0.2786, 0.6969], [0.7233, 0.7214, 0.1969], [0.7739, 0.4017, 0.0219], [0.7739, 0.5983, 0.5219], [0.7876, 0.1246, 0.8362], [0.7876, 0.8754, 0.3362], [0.8432, 0.3634, 0.1495], [0.8432, 0.6366, 0.6495], [0.8539, 0.4223, 0.4097], [0.8539, 0.5777, 0.9097], [0.8584, 0.1629, 0.5980], [0.8584, 0.8371, 0.0980], [0.8861, 0.1034, 0.9670], [0.8861, 0.8966, 0.4670], [0.9004, 0.2076, 0.2851], [0.9004, 0.7924, 0.7851]], "energy_ev_per_cell": -329.0, "raw_formation_energy_ev_per_atom": -1.523, "total_magnetization_mub_per_cell": 0.000}

{"formula": "KMg3Sb", "functional": "GGA-PBE", "state": "relaxed", "cell": [[5.7500, 0.0000, 0.0000], [0.0000, 5.7500, 0.0000], [0.0000, 0.0000, 5.7500]], "species": ["K", "Mg", "Mg", "Mg", "Sb"], "frac_coords": [[0.0000, 0.0000, 0.0000], [0.0000, 0.5000, 0.5000], [0.5000, 0.0000, 0.5000], [0.5000, 0.5000, 0.0000], [0.5000, 0.5000, 0.5000]], "energy_ev_per_cell": -8.9, "raw_formation_energy_ev_per_atom": 0.216, "e_above_lowest_polymorph_kj_per_mol_atoms": 0.00, "total_magnetization_mub_per_cell": 0.000}

{"formula": "Ba2HgN", "functional": "GGA-PBE", "state": "relaxed", "cell": [[-3.9916, 3.9916, 4.4772], [3.9916, -3.9916, 4.4772], [3.9916, 3.9916, -4.4772]], "species": ["Ba", "Ba", "Ba", "Ba", "Hg", "Hg", "N", "N"], "frac_coords": [[0.0287, 0.6250, 0.9037], [0.3750, 0.2787, 0.4037], [0.7213, 0.1250, 0.0963], [0.8750, 0.9713, 0.5963], [0.2500, 0.7500, 0.5000], [0.5000, 0.5000, 0.0000], [0.0000, 0.0000, 0.0000], [0.7500, 0.2500, 0.5000]], "energy_ev_per_cell": -27.3, "raw_formation_energy_ev_per_atom": -0.299, "e_above_lowest_polymorph_kj_per_mol_atoms": 10.27, "total_magnetization_mub_per_cell": 0.000}

{"formula": "Sm2HoIr2", "functional": "GGA-PBE", "state": "relaxed", "cell": [[5.3521, -2.8783, 0.0000], [5.3521, 2.8783, 0.0000], [-2.3286, 0.0000, 7.8487]], "species": ["Sm", "Sm", "Sm", "Sm", "Ho", "Ho", "Ir", "Ir", "Ir", "Ir"], "frac_coords": [[0.0005, 0.7023, 0.8492], [0.2977, 0.9995, 0.6508], [0.7023, 0.0005, 0.3492], [0.9995, 0.2977, 0.1508], [0.3611, 0.6389, 0.2500], [0.6389, 0.3611, 0.7500], [0.2092, 0.5086, 0.4955], [0.4914, 0.7908, 0.0045], [0.5086, 0.2092, 0.9955], [0.7908, 0.4914, 0.5045]], "energy_ev_per_cell": -70.2, "formation_enthalpy_0k_kj_per_mol_fu": -323, "total_magnetization_mub_per_cell": 0.000}

{"formula": "BaBeRu2", "functional": "GGA-PBE", "state": "relaxed", "cell": [[-1.5381, 2.6305, 4.4003], [1.5381, -2.6305, 4.4003], [1.5381, 2.6305, -4.4003]], "species": ["Ba", "Be", "Ru", "Ru"], "frac_coords": [[0.0000, 0.0000, 0.0000], [0.5000, 0.5000, 0.0000], [0.3041, 0.8041, 0.5000], [0.6959, 0.1959, 0.5000]], "energy_ev_per_cell": -21.2, "formation_enthalpy_0k_kj_per_mol_fu": 289, "total_magnetization_mub_per_cell": 0.001}

{"formula": "LaMnZn2", "functional": "GGA-PBE", "state": "relaxed", "cell": [[2.1857, 1.2619, 5.1899], [-2.1857, 1.2619, 5.1899], [0.0000, -2.5238, 5.1899]], "species": ["La", "Mn", "Zn", "Zn"], "frac_coords": [[0.0000, 0.0000, 0.0000], [0.1966, 0.1966, 0.1966], [0.5078, 0.5078, 0.5078], [0.8007, 0.8007, 0.8007]], "energy_ev_per_cell": -16.9, "formation_enthalpy_0k_kj_per_mol_fu": -21, "total_magnetization_mub_per_cell": 3.108}

{"formula": "AcEu2Cl", "functional": "GGA-PBE", "state": "relaxed", "cell": [[1.9725, 1.1388, 10.8210], [-1.9725, 1.1388, 10.8210], [0.0000, -2.2777, 10.8210]], "species": ["Ac", "Eu", "Eu", "Cl"], "frac_coords": [[0.0000, 0.0000, 0.0000], [0.2325, 0.2325, 0.2325], [0.7675, 0.7675, 0.7675], [0.5000, 0.5000, 0.5000]], "energy_ev_per_cell": -29.8, "raw_formation_energy_ev_per_atom": -0.836, "e_above_lowest_polymorph_kj_per_mol_atoms": 0.00, "total_magnetization_mub_per_cell": 14.821}

{"formula": "AgAu2", "functional": "GGA-PBE", "state": "relaxed", "cell": [[5.5531, -1.4128, 0.0000], [5.5531, 1.4128, 0.0000], [-1.9519, 0.0000, 6.9000]], "species": ["Ag", "Ag", "Au", "Au", "Au", "Au"], "frac_coords": [[0.0286, 0.0286, 0.3104], [0.9714, 0.9714, 0.6896], [0.3040, 0.3040, 0.3586], [0.3640, 0.3640, 0.9763], [0.6360, 0.6360, 0.0237], [0.6960, 0.6960, 0.6414]], "energy_ev_per_cell": -18.9, "formation_enthalpy_0k_kj_per_mol_fu": -5, "e_above_lowest_polymorph_kj_per_mol_atoms": 2.18, "total_magnetization_mub_per_cell": 0.000}

{"formula": "Pm2YErTm2", "functional": "GGA-PBE", "state": "relaxed", "cell": [[7.0284, 0.0000, 0.0000], [0.0000, 5.6174, 0.0000], [0.0000, 0.0000, 9.6953]], "species": ["Pm", "Pm", "Pm", "Pm", "Y", "Y", "Er", "Er", "Tm", "Tm", "Tm", "Tm"], "frac_coords": [[0.2500, 0.0000, 0.1520], [0.2500, 0.5000, 0.6811], [0.7500, 0.0000, 0.8480], [0.7500, 0.5000, 0.3189], [0.0000, 0.0000, 0.5000], [0.5000, 0.0000, 0.5000], [0.2500, 0.5000, 0.3428], [0.7500, 0.5000, 0.6572], [0.0000, 0.5000, 0.0000], [0.2500, 0.0000, 0.8226], [0.5000, 0.5000, 0.0000], [0.7500, 0.0000, 0.1774]], "energy_ev_per_cell": -58.2, "formation_enthalpy_0k_kj_per_mol_fu": 36, "total_magnetization_mub_per_cell": 0.000}

{"formula": "AcMgP2Pt4", "functional": "GGA-PBE", "state": "relaxed", "cell": [[4.1442, 0.0000, 0.0000], [0.0000, 4.1442, 0.0000], [0.0000, 0.0000, 9.0922]], "species": ["Ac", "Mg", "P", "P", "Pt", "Pt", "Pt", "Pt"], "frac_coords": [[0.0000, 0.0000, 0.0000], [0.0000, 0.0000, 0.5000], [0.5000, 0.5000, 0.1824], [0.5000, 0.5000, 0.8176], [0.0000, 0.5000, 0.3047], [0.0000, 0.5000, 0.6953], [0.5000, 0.0000, 0.3047], [0.5000, 0.0000, 0.6953]], "energy_ev_per_cell": -46.8, "formation_enthalpy_0k_kj_per_mol_fu": -592, "total_magnetization_mub_per_cell": 0.000}

{"formula": "Li2TaAu", "functional": "GGA-PBE", "state": "relaxed", "cell": [[3.8375, 0.0000, 0.0000], [0.0000, 3.8375, 0.0000], [0.0000, 0.0000, 4.5250]], "species": ["Li", "Li", "Ta", "Au"], "frac_coords": [[0.0000, 0.5000, 0.0000], [0.5000, 0.0000, 0.0000], [0.0000, 0.0000, 0.5000], [0.5000, 0.5000, 0.5000]], "energy_ev_per_cell": -18.1, "formation_enthalpy_0k_kj_per_mol_fu": 79, "e_above_lowest_polymorph_kj_per_mol_atoms": 18.91, "total_magnetization_mub_per_cell": 0.000}

{"formula": "RbI3Br", "functional": "GGA-PBE", "state": "relaxed", "cell": [[-4.3740, 4.3740, 6.3134], [4.3740, -4.3740, 6.3134], [4.3740, 4.3740, -6.3134]], "species": ["Rb", "Rb", "I", "I", "I", "I", "I", "I", "Br", "Br"], "frac_coords": [[0.2500, 0.7500, 0.5000], [0.7500, 0.2500, 0.5000], [0.2203, 0.2203, 0.0000], [0.2703, 0.2703, 0.5407], [0.2703, 0.7297, 0.0000], [0.7297, 0.2703, 0.0000], [0.7297, 0.7297, 0.4593], [0.7797, 0.7797, 0.0000], [0.0000, 0.0000, 0.0000], [0.5000, 0.5000, 0.0000]], "energy_ev_per_cell": -19.4, "raw_formation_energy_ev_per_atom": -0.481, "e_above_lowest_polymorph_kj_per_mol_atoms": 0.00, "total_magnetization_mub_per_cell": 0.000}

{"formula": "Dy2Al6Au3", "functional": "GGA-PBE", "state": "relaxed", "cell": [[7.8367, 0.0000, 0.0000], [-3.9184, 6.7868, 0.0000], [0.0000, 0.0000, 4.1279]], "species": ["Dy", "Dy", "Al", "Al", "Al", "Al", "Al", "Al", "Au", "Au", "Au"], "frac_coords": [[0.3333, 0.6667, 0.0000], [0.6667, 0.3333, 0.0000], [0.0000, 0.1916, 0.0000], [0.0000, 0.6987, 0.5000], [0.1916, 0.0000, 0.0000], [0.3013, 0.3013, 0.5000], [0.6987, 0.0000, 0.5000], [0.8084, 0.8084, 0.0000], [0.0000, 0.3758, 0.5000], [0.3758, 0.0000, 0.5000], [0.6242, 0.6242, 0.5000]], "energy_ev_per_cell": -48.0, "formation_enthalpy_0k_kj_per_mol_fu": -625, "total_magnetization_mub_per_cell": 0.000}

{"formula": "BaBPPt6", "functional": "GGA-PBE", "state": "relaxed", "cell": [[-3.8831, 3.9847, 5.6507], [3.8831, -3.9847, 5.6507], [3.8831, 3.9847, -5.6507]], "species": ["Ba", "Ba", "B", "B", "P", "P", "Pt", "Pt", "Pt", "Pt", "Pt", "Pt", "Pt", "Pt", "Pt", "Pt", "Pt", "Pt"], "frac_coords": [[0.3979, 0.1479, 0.2500], [0.6021, 0.8521, 0.7500], [0.0000, 0.5000, 0.5000], [0.5000, 0.5000, 0.0000], [0.0000, 0.0000, 0.5000], [0.0000, 0.5000, 0.0000], [0.0858, 0.4150, 0.2593], [0.0858, 0.8265, 0.6708], [0.1072, 0.8572, 0.2500], [0.3183, 0.5683, 0.7500], [0.3442, 0.1735, 0.7593], [0.3442, 0.5850, 0.1708], [0.6558, 0.4150, 0.8292], [0.6558, 0.8265, 0.2407], [0.6817, 0.4317, 0.2500], [0.8928, 0.1428, 0.7500], [0.9142, 0.1735, 0.3292], [0.9142, 0.5850, 0.7407]], "energy_ev_per_cell": -108.7, "formation_enthalpy_0k_kj_per_mol_fu": -397, "total_magnetization_mub_per_cell": 0.000}

{"formula": "SrPbS2", "functional": "GGA-PBE", "state": "relaxed", "cell": [[-3.2898, 3.2898, 6.7971], [3.2898, -3.2898, 6.7971], [3.2898, 3.2898, -6.7971]], "species": ["Sr", "Sr", "Pb", "Pb", "S", "S", "S", "S"], "frac_coords": [[0.0000, 0.0000, 0.0000], [0.7500, 0.2500, 0.5000], [0.2500, 0.7500, 0.5000], [0.5000, 0.5000, 0.0000], [0.1271, 0.6250, 0.0021], [0.3750, 0.3771, 0.5021], [0.6229, 0.1250, 0.9979], [0.8750, 0.8729, 0.4979]], "energy_ev_per_cell": -36.3, "raw_formation_energy_ev_per_atom": -1.123, "total_magnetization_mub_per_cell": 0.000}